{
  "formula": "ErMnSi2",
  "functional": "PBE",
  "state": "optimized geometry",
  "n_ef_per_ev_atom": 0.54,
  "raw_formation_energy_mev_per_atom": -621,
  "magnetic_moment_mub_per_fu": 1.81,
  "rho_g_cm3": 7.00,
  "lattice": [[7.076, 0.000, 0.000], [0.000, 3.813, 0.000], [0.000, 0.000, 9.791]],
  "species": ["Er", "Er", "Er", "Er", "Mn", "Mn", "Mn", "Mn", "Si", "Si", "Si", "Si", "Si", "Si", "Si", "Si"],
  "fractional_positions": [[0.141, 0.250, 0.132], [0.359, 0.750, 0.632], [0.641, 0.250, 0.368], [0.859, 0.750, 0.868], [0.013, 0.750, 0.393], [0.487, 0.250, 0.893], [0.513, 0.750, 0.107], [0.987, 0.250, 0.607], [0.160, 0.250, 0.812], [0.212, 0.250, 0.435], [0.288, 0.750, 0.935], [0.340, 0.750, 0.312], [0.660, 0.250, 0.688], [0.712, 0.250, 0.065], [0.788, 0.750, 0.565], [0.840, 0.750, 0.188]]
}